(w)
Ce2Nd2Ru3 after structural relaxation. Source: Alexandria via LeMat-Bulk, functional PBE.

* N(E_F): 0.87 states/eV/atom
* crystal system: triclinic
* total moment: 0.000 μB per formula unit
* calculated density: 8.6 Mg/m³

a = 4.0996 Å, b = 6.1633 Å, c = 7.3408 Å
α = 83.72°, β = 73.90°, γ = 70.59°
Last column: nearest neighbours and their distance in Å.
Space group P-1 (No. 2)
Inequivalent atoms, fractional coordinates:
Ce 0.1929 0.2135 0.4000 [2 per cell]  4 Ru 2.58-2.74
Nd 0.4221 0.2790 0.8763 [2 per cell]  4 Ru 2.93-3.25
Ru 0.1718 0.8354 0.8199 [2 per cell]  2 Ce 2.58-2.60
Ru 0.5000 0.5000 0.5000 [1 per cell]  4 Ce 2.74, 2 Nd 2.93, 2 Ru 3.01

(x)
Ce2Nd2Ru3 after structural relaxation. Source: Alexandria via LeMat-Bulk, functional PBE.

* N(E_F): 0.64 states/eV/atom
* crystal system: triclinic
* total moment: 0.000 μB per formula unit
* calculated density: 8.1 Mg/m³

a = 4.3575 Å, b = 6.0308 Å, c = 7.4098 Å
α = 98.19°, β = 90.26°, γ = 110.96°
Last column: nearest neighbours and their distance in Å.
Space group P-1 (No. 2)
Inequivalent atoms, fractional coordinates:
Ce 0.1323 0.2660 0.4040 [2 per cell]  4 Ru 2.54-2.80
Nd 0.3696 0.7412 0.1370 [2 per cell]  2 Ru 2.85-2.90
Ru 0.3113 0.6247 0.7415 [2 per cell]  2 Ce 2.54-2.56
Ru 0.5000 0.0000 0.5000 [1 per cell]  4 Ce 2.79-2.80, 2 Nd 2.85, 2 Ru 2.97

Stability, lowest: (x)

(w)
CeNd2Ru after structural relaxation. Source: Alexandria via LeMat-Bulk, functional PBE.

* N(E_F): 2.01 states/eV/atom
* crystal system: trigonal
* total moment: 1.479 μB per formula unit
* calculated density: 7.6 Mg/m³

a = 3.5306 Å, b = 3.5306 Å, c = 32.3210 Å
α = 90.00°, β = 90.00°, γ = 120.00°
Last column: nearest neighbours and their distance in Å.
Space group R-3m (No. 166, hexagonal axes)
Inequivalent atoms, fractional coordinates:
Ce 0.0000 0.0000 0.0000 [3 per cell]  2 Nd 3.39, 6 Ce 3.53
Nd 0.0000 0.0000 0.1048 [6 per cell]  3 Ru 2.85
Ru 0.0000 0.0000 0.5000 [3 per cell]  6 Nd 2.85

(x)
CeNd2Ru after structural relaxation. Source: Alexandria via LeMat-Bulk, functional PBE.

* N(E_F): 1.71 states/eV/atom
* crystal system: orthorhombic
* total moment: 0.000 μB per formula unit
* calculated density: 7.6 Mg/m³

a = 3.8301 Å, b = 12.2919 Å, c = 9.8916 Å
α = 90.00°, β = 90.00°, γ = 90.00°
Last column: nearest neighbours and their distance in Å.
Space group Cmcm (No. 63)
Inequivalent atoms, fractional coordinates:
Ce 0.0000 0.0900 0.2500 [4 per cell]  2 Ru 2.54
Nd 0.0000 0.3576 0.0682 [8 per cell]  3 Ru 3.09-3.31
Ru 0.0000 0.2745 0.7500 [4 per cell]  2 Ce 2.54

Stability, lowest: (w)

(w)
Ce2NdRu2 after structural relaxation. Source: Alexandria via LeMat-Bulk, functional PBE.

* N(E_F): 1.47 states/eV/atom
* crystal system: monoclinic
* total moment: 0.000 μB per formula unit
* calculated density: 8.7 Mg/m³

a = 6.6230 Å, b = 6.1510 Å, c = 6.5047 Å
α = 90.00°, β = 115.08°, γ = 90.00°
Last column: nearest neighbours and their distance in Å.
Space group C2/m (No. 12)
Inequivalent atoms, fractional coordinates:
Ce 0.0000 0.2410 0.0000 [4 per cell]  2 Ru 2.55
Nd 0.0000 0.0000 0.5000 [2 per cell]  6 Ru 3.30-3.35, 4 Ce 3.57
Ru 0.0506 0.5000 0.7202 [4 per cell]  2 Ce 2.55, 1 Ru 2.65

(x)
Ce2NdRu2 after structural relaxation. Source: Alexandria via LeMat-Bulk, functional PBE.

* N(E_F): 1.72 states/eV/atom
* crystal system: monoclinic
* total moment: 0.604 μB per formula unit
* calculated density: 8.8 Mg/m³

a = 11.5025 Å, b = 4.3177 Å, c = 10.2032 Å
α = 90.00°, β = 111.24°, γ = 90.00°
Last column: nearest neighbours and their distance in Å.
Space group C2/m (No. 12)
Inequivalent atoms, fractional coordinates:
Ce 0.0346 0.0000 0.2066 [4 per cell]  4 Ru 2.58-2.85
Ce 0.1666 0.0000 0.5766 [4 per cell]  3 Ru 2.79-3.02
Nd 0.1978 0.5000 0.8615 [4 per cell]  4 Ru 3.04-3.21, 3 Ce 3.31-3.39
Ru 0.0635 0.5000 0.3990 [4 per cell]  5 Ce 2.79-3.02, 2 Ru 2.93-3.03
Ru 0.1122 0.5000 0.1259 [4 per cell]  2 Ce 2.58

Stability, lowest: (w)

(w)
CeNdS after structural relaxation. Source: Alexandria via LeMat-Bulk, functional PBE.

* N(E_F): 2.58 states/eV/atom
* crystal system: orthorhombic
* total moment: 0.921 μB per formula unit
* calculated density: 6.2 Mg/m³

a = 8.3846 Å, b = 10.7736 Å, c = 7.4543 Å
α = 90.00°, β = 90.00°, γ = 90.00°
Last column: nearest neighbours and their distance in Å.
Space group Cmce (No. 64)
Inequivalent atoms, fractional coordinates:
Ce 0.0000 0.2006 0.1599 [8 per cell]  2 S 2.75-2.86
Nd 0.2066 0.0000 0.5000 [8 per cell]  4 S 2.89-2.97
S 0.0000 0.0628 0.7968 [8 per cell]  2 Ce 2.75-2.86, 4 Nd 2.89-2.97

(x)
CeNdS after structural relaxation. Source: Alexandria via LeMat-Bulk, functional PBE.

* N(E_F): 2.40 states/eV/atom
* crystal system: trigonal
* total moment: 1.963 μB per formula unit
* calculated density: 6.0 Mg/m³

a = 3.9178 Å, b = 3.9178 Å, c = 6.5722 Å
α = 90.00°, β = 90.00°, γ = 120.00°
Last column: nearest neighbours and their distance in Å.
Space group P3m1 (No. 156)
Inequivalent atoms, fractional coordinates:
Ce 0.0000 0.0000 0.0000 [1 per cell]  3 S 2.82
Nd 0.3333 0.6667 0.4829 [1 per cell]  3 S 2.84
S 0.6667 0.3333 0.7441 [1 per cell]  3 Ce 2.82, 3 Nd 2.84

Stability, lowest: (w)

(w)
CeNd3Sb3 after structural relaxation. Source: Alexandria via LeMat-Bulk, functional PBE.

* N(E_F): 1.47 states/eV/atom
* crystal system: hexagonal
* total moment: 1.740 μB per formula unit
* calculated density: 7.0 Mg/m³

a = 9.3060 Å, b = 9.3060 Å, c = 5.9175 Å
α = 90.00°, β = 90.00°, γ = 120.00°
Last column: nearest neighbours and their distance in Å.
Space group P6_3/m (No. 176)
Inequivalent atoms, fractional coordinates:
Ce 0.3333 0.6667 0.2500 [2 per cell]  3 Sb 3.27, 3 Nd 3.47
Nd 0.0132 0.7561 0.2500 [6 per cell]  5 Sb 3.09-3.42
Sb 0.0542 0.6306 0.7500 [6 per cell]  5 Nd 3.09-3.42, 1 Ce 3.27

(x)
CeNd3Sb3 after structural relaxation. Source: Alexandria via LeMat-Bulk, functional PBE.

* N(E_F): 1.84 states/eV/atom
* crystal system: cubic
* total moment: 1.418 μB per formula unit
* calculated density: 7.2 Mg/m³

a = 9.5079 Å, b = 9.5079 Å, c = 9.5079 Å
α = 90.00°, β = 90.00°, γ = 90.00°
Last column: nearest neighbours and their distance in Å.
Space group P2_13 (No. 198)
Inequivalent atoms, fractional coordinates:
Ce 0.0720 0.4280 0.5720 [4 per cell]  6 Sb 3.16-3.43
Nd 0.0710 0.5710 0.9290 [4 per cell]  6 Sb 3.18-3.42
Nd 0.1791 0.1791 0.1791 [4 per cell]  6 Sb 3.16-3.42
Nd 0.1802 0.8198 0.3198 [4 per cell]  6 Sb 3.17-3.42
Sb 0.0012 0.7491 0.6240 [12 per cell]  6 Nd 3.16-3.42, 2 Ce 3.16-3.43

Stability, lowest: (w)

(w)
Ce2NdSb3 after structural relaxation. Source: Alexandria via LeMat-Bulk, functional PBE.

* N(E_F): 2.15 states/eV/atom
* crystal system: trigonal
* total moment: 1.871 μB per formula unit
* calculated density: 6.5 Mg/m³

a = 7.7409 Å, b = 7.7409 Å, c = 23.4015 Å
α = 90.00°, β = 90.00°, γ = 120.00°
Last column: nearest neighbours and their distance in Å.
Space group R-3c (No. 167, hexagonal axes)
Inequivalent atoms, fractional coordinates:
Ce 0.0000 0.0000 0.1662 [12 per cell]  6 Sb 3.23-3.24
Nd 0.0000 0.0000 0.0000 [6 per cell]  6 Sb 3.24
Sb 0.0000 0.3310 0.2500 [18 per cell]  4 Ce 3.23-3.24, 2 Nd 3.24

(x)
Ce2NdSb3 after structural relaxation. Source: Alexandria via LeMat-Bulk, functional PBE.

* N(E_F): 2.09 states/eV/atom
* crystal system: orthorhombic
* total moment: 1.638 μB per formula unit
* calculated density: 6.7 Mg/m³

a = 4.5069 Å, b = 6.3766 Å, c = 13.5407 Å
α = 90.00°, β = 90.00°, γ = 90.00°
Last column: nearest neighbours and their distance in Å.
Space group Immm (No. 71)
Inequivalent atoms, fractional coordinates:
Ce 0.0000 0.0000 0.1663 [4 per cell]  6 Sb 3.17-3.19
Nd 0.0000 0.0000 0.5000 [2 per cell]  6 Sb 3.19-3.21
Sb 0.0000 0.5000 0.1685 [4 per cell]  4 Ce 3.17-3.19, 2 Nd 3.21
Sb 0.0000 0.5000 0.5000 [2 per cell]  4 Ce 3.19, 2 Nd 3.19

Stability, lowest: (w)